The following is a PBE calculation of Ba6Mg5Cd after structural relaxation, from Alexandria via LeMat-Bulk.

Structure (CIF):
```
data_Ba6Mg5Cd
_chemical_formula_sum 'Ba6 Mg5 Cd1'
_space_group_name_H-M_alt 'P 1'
_space_group_IT_number 1
_space_group_name_Hall 'P 1'
_cell_length_a 9.745
_cell_length_b 9.745
_cell_length_c 8.650
_cell_angle_alpha 90.00
_cell_angle_beta 90.00
_cell_angle_gamma 143.12
loop_
_atom_site_label
_atom_site_type_symbol
_atom_site_fract_x
_atom_site_fract_y
_atom_site_fract_z
Ba1 Ba 0.000 0.000 0.244
Ba2 Ba 0.000 0.000 0.756
Ba3 Ba 0.336 0.664 0.248
Ba4 Ba 0.336 0.664 0.752
Ba5 Ba 0.664 0.336 0.248
Ba6 Ba 0.664 0.336 0.752
Mg1 Mg 0.167 0.833 0.500
Mg2 Mg 0.172 0.828 0.000
Mg3 Mg 0.500 0.500 0.500
Mg4 Mg 0.828 0.172 0.000
Mg5 Mg 0.833 0.167 0.500
Cd1 Cd 0.500 0.500 0.000
```

## Properties
ρ = 3.56 g/cm3
energy relative to the elements = -0.101 eV per atom